# 1
## Hf2HgIrO (GGA-PBE)

Data for a relaxed structure of Hf2HgIrO.

- magnetization (μB/cell) = 0.00
- E_form (uncorrected) (eV per formula unit) = 0.26
- space group = No. 123

abc: 5.2393 5.2393 3.7419
angles: 90.00 90.00 90.00
Closest atoms and distances in Å follow each position.
Atoms (fractional coordinates):
Hf (0.0000, 0.5000, 0.0000)  2 Ir 2.62
Hf (0.5000, 0.0000, 0.0000)  2 Ir 2.62
Hg (0.0000, 0.0000, 0.5000)  8 Hf 3.22
Ir (0.5000, 0.5000, 0.0000)  2 O 1.87
O (0.5000, 0.5000, 0.5000)  2 Ir 1.87


# 2
## ZnTcAu (GGA-PBE)

Data for a relaxed structure of ZnTcAu.

- magnetization (μB/cell) = 0.00
- ΔH_f (0 K) (eV per formula unit) = -0.22
- space group = No. 129

abc: 3.0284 3.0284 10.1729
angles: 90.00 90.00 90.00
Closest atoms and distances in Å follow each position.
Atoms (fractional coordinates):
Zn (0.2500, 0.2500, 0.2363)  4 Au 2.70, 4 Tc 2.72
Zn (0.7500, 0.7500, 0.7637)  4 Au 2.70, 4 Tc 2.72
Tc (0.2500, 0.2500, 0.9284)  4 Tc 2.59, 4 Zn 2.72
Tc (0.7500, 0.7500, 0.0716)  4 Tc 2.59, 4 Zn 2.72
Au (0.2500, 0.2500, 0.6021)  4 Zn 2.70, 4 Au 2.98
Au (0.7500, 0.7500, 0.3979)  4 Zn 2.70, 4 Au 2.98